Density functional theory data (PBE) for Sc3GaNi8 after structural relaxation.

Cell lengths 4.8400, 4.8400, 8.4055 Å; angles 73.27, 73.27, 60.00 degrees
Closest atoms and distances in Å follow each position.
Element x y z (fractional)
Ni1 0.9395 0.4370 0.1864  6 Ni 2.41-2.44
Sc1 0.9938 0.9938 0.0186  12 Ni 2.76-2.99, 1 Ga 2.92, 3 Sc 3.03
Ni2 0.4370 0.4370 0.1864  6 Ni 2.41-2.44
Ni3 0.9378 0.9378 0.6859  6 Ni 2.42-2.43
Sc2 0.3765 0.3765 0.8705  12 Ni 2.83-2.86, 4 Sc 3.03-3.05
Ni4 0.6882 0.6882 0.9353  6 Ni 2.42-2.44
Ni5 0.9378 0.4385 0.6859  6 Ni 2.42-2.43
Ga1 0.8709 0.8709 0.3874  12 Ni 2.75-2.90, 4 Sc 2.90-2.92
Ni6 0.4385 0.9378 0.6859  6 Ni 2.42-2.43
Sc3 0.5047 0.5047 0.4859  12 Ni 2.76-2.89, 3 Ga 2.90, 1 Sc 3.05
Ni7 0.1883 0.1883 0.4352  6 Ni 2.41-2.43
Ni8 0.4370 0.9395 0.1864  6 Ni 2.41-2.44

Properties
* space-group type: No. 160
* energy of formation: -0.487 eV/atom

Density functional theory data (PBE) for Rb2TaMoW after structural relaxation.

Cell lengths 6.4951, 4.7616, 6.4951 Å; angles 90.00, 90.00, 90.00 degrees
Closest atoms and distances in Å follow each position.
Element x y z (fractional)
Ta1 0.0000 0.5000 0.0000  2 W 2.38
Rb1 0.5000 0.0000 0.0000  2 W 3.25
Mo1 0.5000 0.5000 0.5000  8 Rb 4.03
Rb2 0.0000 0.0000 0.5000  2 W 3.25
W1 0.0000 0.0000 0.0000  2 Ta 2.38

Properties
* space-group type: No. 123
* energy of formation: 2.973 eV/atom

Density functional theory data (PBE) for Tl4FeBr8 after structural relaxation.

Cell lengths 8.0968, 8.6142, 8.6141 Å; angles 77.22, 61.95, 61.95 degrees
Closest atoms and distances in Å follow each position.
Element x y z (fractional)
Fe1 0.0000 0.0000 0.0000  4 Br 2.36
Br1 0.0000 0.7806 0.2194  1 Fe 2.36
Tl1 0.5000 0.0000 0.5000  8 Br 3.38
Br2 0.5000 0.2781 0.7219  4 Tl 3.38
Br3 0.7783 0.7219 0.7219  4 Tl 3.38
Br4 0.7806 0.2194 0.2194  1 Fe 2.36
Tl2 0.5000 0.5000 0.0000  8 Br 3.38
Br5 0.2217 0.2781 0.2781  4 Tl 3.38
Tl3 0.0000 0.0000 0.5000  8 Br 3.38
Br6 0.5000 0.7219 0.2781  4 Tl 3.38
Br7 0.2194 0.7806 0.7806  1 Fe 2.36
Tl4 0.0000 0.5000 0.0000  8 Br 3.38
Br8 0.0000 0.2194 0.7806  1 Fe 2.36

Properties
* space-group type: No. 139
* formation energy (no corrections): -6.87 eV per formula unit

Density functional theory data (PBE) for Ca2CuSn4Rh3 after structural relaxation.

Cell lengths 4.5810, 4.5810, 10.5252 Å; angles 90.00, 90.00, 90.00 degrees
Closest atoms and distances in Å follow each position.
Element x y z (fractional)
Sn1 0.5000 0.0000 0.6235  3 Rh 2.60-2.63, 2 Cu 2.63
Ca1 0.5000 0.0000 0.2586  2 Cu 3.42, 6 Rh 3.42-3.51, 8 Sn 3.47-3.56
Rh1 0.5000 0.0000 0.8703  5 Sn 2.60-2.67
Rh2 0.0000 0.0000 0.5000  4 Sn 2.63
Rh3 0.0000 0.5000 0.1297  5 Sn 2.60-2.67
Cu1 0.5000 0.5000 0.5000  4 Sn 2.63
Ca2 0.0000 0.5000 0.7414  6 Rh 3.42-3.51, 2 Cu 3.42, 8 Sn 3.47-3.56
Sn2 0.0000 0.0000 0.0000  4 Rh 2.67
Sn3 0.5000 0.5000 0.0000  4 Rh 2.67
Sn4 0.0000 0.5000 0.3765  3 Rh 2.60-2.63, 2 Cu 2.63

Properties
* space-group type: No. 115
* energy of formation: -0.513 eV/atom

Density functional theory data (PBE) for ZrReSi2 after structural relaxation.

Cell lengths 3.9559, 3.9559, 9.4463 Å; angles 77.91, 77.91, 90.00 degrees
Closest atoms and distances in Å follow each position.
Element x y z (fractional)
Si1 0.8750 0.9347 0.7500  2 Si 2.49, 2 Re 2.58, 2 Zr 2.75
Re1 0.7500 0.2500 0.5000  4 Si 2.58, 4 Zr 2.80
Si2 0.0653 0.6250 0.2500  2 Si 2.49, 2 Re 2.58, 2 Zr 2.75
Si3 0.3750 0.3153 0.7500  2 Si 2.49, 2 Re 2.58, 2 Zr 2.75
Si4 0.6847 0.1250 0.2500  2 Si 2.49, 2 Re 2.58, 2 Zr 2.75
Re2 0.0000 0.0000 0.0000  4 Si 2.58, 4 Zr 2.80
Zr1 0.5000 0.5000 0.0000  4 Si 2.75, 4 Re 2.80
Zr2 0.2500 0.7500 0.5000  4 Si 2.75, 4 Re 2.80

Properties
* space-group type: No. 122
* formation energy (no corrections): 0.57 eV per formula unit

Density functional theory data (PBE) for PmPuMnN3 after structural relaxation.

Cell lengths 3.4377, 7.1314, 7.4493 Å; angles 97.16, 90.00, 90.00 degrees
Closest atoms and distances in Å follow each position.
Element x y z (fractional)
N1 0.7500 0.4095 0.1342  3 Pu 2.28-2.37, 2 Pm 2.51
Pu1 0.7500 0.3593 0.8258  6 N 2.28-2.45
N2 0.2500 0.1256 0.8498  1 Mn 1.88
N3 0.2500 0.8356 0.4694  3 Mn 1.84-1.92
N4 0.7500 0.1644 0.5306  3 Mn 1.84-1.92
Pm1 0.7500 0.8385 0.8241  5 N 2.41-2.66
N5 0.7500 0.8744 0.1502  1 Mn 1.88
Mn1 0.2500 0.0745 0.5961  4 N 1.84-1.92
N6 0.2500 0.5905 0.8658  3 Pu 2.28-2.37, 2 Pm 2.51
Mn2 0.7500 0.9255 0.4039  4 N 1.84-1.92
Pm2 0.2500 0.1615 0.1759  5 N 2.41-2.66
Pu2 0.2500 0.6407 0.1742  6 N 2.28-2.45

Properties
* space-group type: No. 11
* formation energy (no corrections): -5.69 eV per formula unit

no.,spin magnetization (μB/cell),E (eV/atom)
1,0.00,-6.177
2,0.61,-4.541
3,2.78,-2.937
4,0.00,-5.129
5,0.00,-7.818
6,9.88,-9.819